1.
Entry from Alexandria: a relaxed RbMgNiF6 crystal (PBE with a Hubbard U).

Geometry as extended XYZ:
```
18
Lattice="-0.435 -6.420 3.367 4.861 -2.720 -4.660 1.546 5.930 3.897" Properties=species:S:1:pos:R:3 pbc="T T T"
Rb 3.006 -5.757 1.019
Rb 2.966 2.546 1.585
Mg -0.217 -3.210 1.683
Mg 2.986 -1.605 1.302
Ni 0.555 -0.245 3.632
Ni 0.000 0.000 0.000
F 1.130 -0.981 5.361
F 4.254 -0.113 1.209
F 4.166 -2.666 2.550
F 1.272 1.460 4.004
F 0.173 -4.667 3.026
F 3.720 -2.469 -0.369
F 4.842 -2.230 -2.757
F 1.718 -3.097 1.395
F 1.806 -0.544 0.054
F 4.700 -4.671 -1.400
F 5.799 1.457 -0.422
F 2.252 -0.741 2.973
```

- DFT total energy (eV per atom) = -4.431
- magnetic moment (μB/atom) = 0.327

2.
Entry from Alexandria: a relaxed Rb2MgNiF6 crystal (PBE with a Hubbard U).

Geometry as extended XYZ:
```
10
Lattice="5.831 0.000 0.000 0.000 5.831 0.000 2.915 2.915 4.121" Properties=species:S:1:pos:R:3 pbc="T T T"
Ni 0.000 0.000 0.000
Mg 2.915 2.915 0.000
Rb 5.831 2.915 2.061
Rb 2.915 5.831 2.061
F 2.915 2.915 2.053
F 5.831 5.831 2.068
F 1.463 1.463 0.000
F 4.368 4.368 0.000
F 4.368 1.463 0.000
F 1.463 4.368 0.000
```

- DFT total energy (eV per atom) = -4.585
- magnetic moment (μB/atom) = 0.200

3.
Entry from Alexandria: a relaxed MgReNi2F crystal (PBE with a Hubbard U).

Geometry as extended XYZ:
```
5
Lattice="4.750 0.000 0.000 0.000 3.446 0.000 0.000 0.000 4.750" Properties=species:S:1:pos:R:3 pbc="T T T"
Re 2.375 1.723 2.375
Mg 0.000 0.000 0.000
F 0.000 1.723 0.000
Ni 0.000 0.000 2.375
Ni 2.375 0.000 0.000
```

- DFT total energy (eV per atom) = -3.576
- magnetic moment (μB/atom) = 0.856

4.
Entry from Alexandria: a relaxed MgNiRh2F crystal (PBE with a Hubbard U).

Geometry as extended XYZ:
```
5
Lattice="4.448 0.000 0.000 0.000 3.732 0.000 0.000 0.000 4.448" Properties=species:S:1:pos:R:3 pbc="T T T"
Ni 2.224 1.866 2.224
Mg 0.000 1.866 0.000
Rh 0.000 0.000 2.224
Rh 2.224 0.000 0.000
F 0.000 0.000 0.000
```

- DFT total energy (eV per atom) = -4.012
- magnetic moment (μB/atom) = 0.474

5.
Entry from Alexandria: a relaxed SrMg2NiF8 crystal (PBE with a Hubbard U).

Geometry as extended XYZ:
```
12
Lattice="4.925 0.052 -0.003 0.105 4.933 -0.006 0.005 0.008 6.567" Properties=species:S:1:pos:R:3 pbc="T T T"
Sr 0.002 0.004 3.283
Mg 2.519 2.499 5.012
Mg 2.516 2.495 1.546
Ni 0.000 0.000 0.000
F 1.136 3.910 1.403
F 3.524 3.484 6.560
F 3.896 1.079 1.404
F 3.899 1.083 5.155
F 1.510 1.510 -0.003
F 1.139 3.915 5.153
F 3.375 3.321 3.277
F 1.660 1.672 3.280
```

- DFT total energy (eV per atom) = -5.100
- magnetic moment (μB/atom) = 0.174

6.
Entry from Alexandria: a relaxed MgTc2NiF crystal (PBE with a Hubbard U).

Geometry as extended XYZ:
```
5
Lattice="-1.162 -2.107 3.259 3.950 -2.015 0.106 1.430 2.930 2.405" Properties=species:S:1:pos:R:3 pbc="T T T"
Ni 1.975 -1.007 0.053
Mg 2.109 -0.596 2.885
Tc 0.715 1.465 1.202
Tc -0.581 -1.054 1.629
F 0.000 0.000 0.000
```

- DFT total energy (eV per atom) = -4.505
- magnetic moment (μB/atom) = 0.075

7.
Entry from Alexandria: a relaxed Mg2Tl3NiF9 crystal (PBE with a Hubbard U).

Geometry as extended XYZ:
```
15
Lattice="-5.584 1.756 -0.234 1.292 -5.425 1.794 0.454 2.346 6.768" Properties=species:S:1:pos:R:3 pbc="T T T"
Mg -0.926 -2.647 2.227
Mg -2.913 1.324 6.101
Tl -0.699 -1.475 5.607
Tl 0.000 0.000 0.000
Tl -3.139 0.152 2.720
Ni 0.227 1.173 3.384
F -4.131 2.121 4.624
F -3.487 -0.581 5.517
F -1.350 1.246 4.741
F -2.489 -2.570 3.587
F -0.351 -0.742 2.810
F 0.292 -3.444 3.703
F -2.792 0.878 -0.117
F 0.646 -2.713 0.897
F -2.146 -1.835 0.780
```

- DFT total energy (eV per atom) = -4.540
- magnetic moment (μB/atom) = 0.134

8.
Entry from Alexandria: a relaxed MgTl3Ni2F9 crystal (PBE with a Hubbard U).

Geometry as extended XYZ:
```
15
Lattice="5.860 0.000 0.000 -2.930 5.075 0.000 0.000 0.000 7.179" Properties=species:S:1:pos:R:3 pbc="T T T"
Mg 0.000 0.000 3.589
Tl 0.000 3.383 4.811
Tl 0.000 0.000 0.000
Tl 2.930 1.692 2.368
Ni 0.000 3.383 1.216
Ni 2.930 1.692 5.962
F 4.400 0.843 4.778
F 2.930 3.389 4.778
F 1.459 0.843 4.778
F 1.470 4.232 2.401
F 0.000 1.685 2.401
F -1.470 4.232 2.401
F 2.930 0.000 0.000
F -1.465 2.537 0.000
F 1.465 2.537 0.000
```

- DFT total energy (eV per atom) = -4.332
- magnetic moment (μB/atom) = 0.269

9.
Entry from Alexandria: a relaxed MgNiWF2 crystal (PBE with a Hubbard U).

Geometry as extended XYZ:
```
5
Lattice="4.032 0.000 0.000 0.000 5.351 0.000 0.000 0.000 4.032" Properties=species:S:1:pos:R:3 pbc="T T T"
Ni 0.000 0.000 0.000
Mg 2.016 2.675 2.016
W 0.000 2.675 0.000
F 0.000 0.000 2.016
F 2.016 0.000 0.000
```

- DFT total energy (eV per atom) = -2.969
- magnetic moment (μB/atom) = 0.581